A relaxed Ac3NiO6 crystal. Source: Alexandria, functional PBE+U.

Properties
Energy ... -7.0285 eV/atom

```
Ac3NiO6
1.0
5.9549 0.0000 -0.3846
0.0000 5.8662 0.0000
-0.4843 0.0000 9.3878
Ac Ni O
6 2 12
Cartesian
2.7791 5.6472 6.7260
2.9775 2.9331 -0.1923
2.6915 0.2190 2.2772
0.0438 3.1521 2.2244
-0.2422 0.0000 4.6939
5.4268 2.7141 6.7789
2.7353 2.9331 4.5016
0.0000 0.0000 0.0000
4.0656 1.1961 8.4139
3.8352 1.4382 5.0684
3.6113 2.5992 2.1507
1.8594 3.2670 6.8525
1.6354 4.4280 3.9348
1.4050 4.6701 0.5893
1.3303 1.7370 3.9123
1.0999 1.4949 0.5668
0.3916 0.3339 7.0369
5.0790 5.5322 1.9663
4.3708 4.3713 8.4365
4.1404 4.1292 5.0909
```